Record 1
First-principles (PBE-GGA) data for a relaxed structure of BeTlP2S, as listed in Alexandria.

a b c (Å): 5.145 5.145 5.108
angles (deg): 90.00 90.00 90.00
Space group P4/mmm (No. 123)
Symmetry-distinct sites (fractional):
Be 0.000 0.000 0.000 x1
Tl 0.500 0.500 0.500 x1
P 0.000 0.500 0.500 x2
S 0.500 0.500 0.000 x1

Properties
Its formation energy (no corrections) is 1.752 eV/atom. Its raw total energy is -2.46 eV/atom. The value obtained for the offset from the most stable computed form is 1223 meV/atom.

Record 2
First-principles (PBE-GGA) data for a relaxed structure of PuMn5Si3, as listed in Alexandria.

a b c (Å): 2.944 12.971 13.321
angles (deg): 90.00 90.00 90.00
Space group Cmcm (No. 63)
Symmetry-distinct sites (fractional):
Pu 0.000 0.129 0.250 x4
Mn 0.000 0.000 0.000 x4
Mn 0.000 0.194 0.574 x8
Mn 0.000 0.451 0.146 x8
Si 0.000 0.161 0.750 x4
Si 0.000 0.374 0.556 x8

Properties
Its formation energy (no corrections) is -0.250 eV/atom. Its raw total energy is -8.74 eV/atom.

Record 3
First-principles (PBE-GGA) data for a relaxed structure of ZrTaTl, as listed in Alexandria.

a b c (Å): 3.625 3.625 9.708
angles (deg): 90.00 90.00 90.00
Space group I4mm (No. 107)
Symmetry-distinct sites (fractional):
Zr 0.000 0.000 0.000 x2
Ta 0.000 0.000 0.340 x2
Tl 0.000 0.000 0.676 x2

Properties
Its raw total energy is -7.36 eV/atom. The value obtained for the offset from the most stable computed form is 39 meV/atom.

Record 4
First-principles (PBE-GGA) data for a relaxed structure of MoRh2Br, as listed in Alexandria.

a b c (Å): 2.925 3.927 5.913
angles (deg): 90.00 104.12 90.00
Space group Pm (No. 6)
Symmetry-distinct sites (fractional):
Mo 0.000 0.000 0.000 x1
Rh 0.218 0.000 0.440 x1
Rh 0.599 0.500 0.201 x1
Br 0.369 0.500 0.739 x1

Properties
Its formation energy (no corrections) is 0.454 eV/atom. Its raw total energy is -6.35 eV/atom. The value obtained for the offset from the most stable computed form is 284 meV/atom.

Record 5
First-principles (PBE-GGA) data for a relaxed structure of LiHoSnPb, as listed in Alexandria.

a b c (Å): 4.407 4.655 4.779
angles (deg): 90.00 90.00 90.00
Space group Pmmm (No. 47)
Symmetry-distinct sites (fractional):
Li 0.000 0.000 0.000 x1
Ho 0.000 0.500 0.500 x1
Sn 0.500 0.000 0.500 x1
Pb 0.500 0.500 0.000 x1

Properties
Its raw total energy is -4.02 eV/atom. The value obtained for the offset from the most stable computed form is 0 meV/atom.

Record 6
First-principles (PBE-GGA) data for a relaxed structure of SrTcSe, as listed in Alexandria.

a b c (Å): 4.2127 4.2127 4.7824
angles (deg): 90.00 90.00 120.00
Space group P3m1 (No. 156)
Symmetry-distinct sites (fractional):
Sr 0.0000 0.0000 0.0000 x1
Tc 0.6667 0.3333 0.5002 x1
Se 0.3333 0.6667 0.4991 x1

Properties
Its formation energy (no corrections) is -0.233 eV/atom. Its raw total energy is -5.41 eV/atom. The value obtained for the offset from the most stable computed form is 0 meV/atom.

Record 7
First-principles (PBE-GGA) data for a relaxed structure of Th2NbAg, as listed in Alexandria.

a b c (Å): 3.665 3.665 7.810
angles (deg): 90.00 90.00 90.00
Space group P4/mmm (No. 123)
Symmetry-distinct sites (fractional):
Th 0.000 0.000 0.235 x2
Nb 0.500 0.500 0.000 x1
Ag 0.500 0.500 0.500 x1

Properties
Its raw total energy is -6.82 eV/atom. The value obtained for the offset from the most stable computed form is 0 meV/atom.

Record 8
First-principles (PBE-GGA) data for a relaxed structure of NdYGa4, as listed in Alexandria.

a b c (Å): 4.257 7.359 8.399
angles (deg): 90.00 90.00 90.00
Space group Immm (No. 71)
Symmetry-distinct sites (fractional):
Nd 0.000 0.000 0.000 x2
Y 0.000 0.000 0.500 x2
Ga 0.000 0.333 0.249 x8

Properties
Its raw total energy is -4.57 eV/atom. The value obtained for the offset from the most stable computed form is 0 meV/atom.

Record 9
First-principles (PBE-GGA) data for a relaxed structure of PmYTe3, as listed in Alexandria.

a b c (Å): 12.158 4.374 11.820
angles (deg): 90.00 90.00 90.00
Space group Pnma (No. 62)
Symmetry-distinct sites (fractional):
Pm 0.199 0.250 0.006 x4
Y 0.016 0.250 0.310 x4
Te 0.040 0.750 0.125 x4
Te 0.114 0.250 0.556 x4
Te 0.227 0.750 0.802 x4

Properties
Its formation energy (no corrections) is -1.438 eV/atom. Its raw total energy is -5.57 eV/atom. The value obtained for the offset from the most stable computed form is 0 meV/atom.

Record 10
First-principles (PBE-GGA) data for a relaxed structure of TbAlO2, as listed in Alexandria.

a b c (Å): 3.0913 3.0913 19.3313
angles (deg): 90.00 90.00 120.00
Space group R-3m (No. 166, hexagonal axes)
Symmetry-distinct sites (fractional):
Tb 0.0000 0.0000 0.0000 x3
Al 0.0000 0.0000 0.5000 x3
O 0.0000 0.0000 0.1183 x6

Properties
Its formation energy (no corrections) is -2.226 eV/atom. Its raw total energy is -6.80 eV/atom.

Record 11
First-principles (PBE-GGA) data for a relaxed structure of Zr2ScTlPd, as listed in Alexandria.

a b c (Å): 4.911 4.911 5.289
angles (deg): 90.00 90.00 90.00
Space group P4/mmm (No. 123)
Symmetry-distinct sites (fractional):
Zr 0.000 0.500 0.000 x2
Sc 0.000 0.000 0.000 x1
Tl 0.000 0.000 0.500 x1
Pd 0.500 0.500 0.500 x1

Properties
Its raw total energy is -5.18 eV/atom.

Record 12
First-principles (PBE-GGA) data for a relaxed structure of Cu2As, as listed in Alexandria.

a b c (Å): 3.868 3.868 3.227
angles (deg): 90.00 90.00 90.00
Space group P4/mmm (No. 123)
Symmetry-distinct sites (fractional):
Cu 0.000 0.500 0.000 x2
As 0.000 0.000 0.500 x1

Properties
Its raw total energy is -4.11 eV/atom.